Entry 1:
Ac2UF11: relaxed, PBE.

Geometry as CIF:
```
data_Ac2UF11
_chemical_formula_sum 'Ac8 U4 F44'
_symmetry_space_group_name_H-M 'I b a m'
_symmetry_Int_Tables_number 72
_symmetry_space_group_name_Hall '-I 2 2c'
_cell_length_a 8.920
_cell_length_b 11.037
_cell_length_c 11.474
_cell_angle_alpha 90.00
_cell_angle_beta 90.00
_cell_angle_gamma 90.00
loop_
_atom_site_label
_atom_site_type_symbol
_atom_site_fract_x
_atom_site_fract_y
_atom_site_fract_z
Ac1 Ac 0.143 0.184 0.000
U1 U 0.000 0.500 0.250
F1 F 0.000 0.000 0.000
F2 F 0.093 0.335 0.158
F3 F 0.121 0.221 0.500
F4 F 0.181 0.442 0.364
```

* DOS at the Fermi energy: 8.18 states/eV per cell
* E_tot: -375.80 eV per cell
* formation energy (no corrections): -3847 meV/atom
* ρ: 5.30 Mg/m³


Entry 2:
Rb4Dy3NpSe8: relaxed, PBE.

Geometry as CIF:
```
data_Rb4Dy3NpSe8
_chemical_formula_sum 'Rb12 Dy9 Np3 Se24'
_symmetry_space_group_name_H-M 'R -3 m'
_symmetry_Int_Tables_number 166
_symmetry_space_group_name_Hall '-R 3 2"'
_cell_length_a 8.5352
_cell_length_b 8.5352
_cell_length_c 23.9684
_cell_angle_alpha 90.00
_cell_angle_beta 90.00
_cell_angle_gamma 120.00
loop_
_atom_site_label
_atom_site_type_symbol
_atom_site_fract_x
_atom_site_fract_y
_atom_site_fract_z
Rb1 Rb 0.0000 0.0000 0.0000
Rb2 Rb 0.0000 0.5000 0.0000
Dy1 Dy 0.0000 0.5000 0.5000
Np1 Np 0.0000 0.0000 0.5000
Se1 Se 0.0000 0.0000 0.2318
Se2 Se 0.0042 0.5021 0.7682
```

* DOS at the Fermi energy: 15.38 states/eV per cell
* E_tot: -252.52 eV per cell
* formation energy (no corrections): -1605 meV/atom
* ρ: 5.59 Mg/m³


> Which formula does entry 2 have?

Rb4Dy3NpSe8


> Which of these has the highest DOS at the Fermi energy?

Rb4Dy3NpSe8